1.
# GdHoPa

A relaxed GdHoPa crystal (GGA-PBE, OQMD via LeMat-Bulk). Values from VASP.

Results
**Polymorph energy (0 for the lowest one)**: 0.000 eV per atom
**Energy of formation from the pure elements**: 1.088 eV per atom

```
&SYSTEM
  ibrav = 0, nat = 3, ntyp = 3
/
ATOMIC_SPECIES
Gd 157.25 Gd.upf
Ho 164.93 Ho.upf
Pa 231.04 Pa.upf
ATOMIC_POSITIONS angstrom
Gd 0.0000 0.0000 9.6606
Ho 0.0000 0.0000 0.0000
Pa 0.0000 0.0000 3.2202
CELL_PARAMETERS angstrom
2.6293 1.5180 4.2936
-2.6293 1.5180 4.2936
0.0000 -3.0360 4.2936
```

2.
# YPaTa

A relaxed YPaTa crystal (GGA-PBE, OQMD via LeMat-Bulk). Values from VASP.

Results
**Polymorph energy (0 for the lowest one)**: 0.000 eV per atom
**Energy of formation from the pure elements**: 1.314 eV per atom

```
&SYSTEM
  ibrav = 0, nat = 3, ntyp = 3
/
ATOMIC_SPECIES
Pa 231.04 Pa.upf
Ta 180.95 Ta.upf
Y 88.91 Y.upf
ATOMIC_POSITIONS angstrom
Pa 0.0000 0.0000 0.0000
Ta 1.7308 1.7308 1.7308
Y 5.1924 5.1924 5.1924
CELL_PARAMETERS angstrom
0.0000 3.4616 3.4616
3.4616 0.0000 3.4616
3.4616 3.4616 0.0000
```